[1]
Computed, not measured: an optimized crystal structure of LiAc3Y3S8 at the GGA-PBE level of DFT.

## Properties
* uncorrected energy: -6.418 eV per atom
* SG: R-3m
* V: 25.521 A^3/atom
* Fermi-level density of states: 4.30 states/eV per cell
* ΔE_f (raw): -1974 meV/atom

Cell: 8.060 8.059 8.244 Å, 119.26 90.00 120.00°
Fractional positions:
1 Y 0.500 0.500 0.500
2 Y 0.000 0.500 0.500
3 Y 0.500 0.000 0.500
4 S 0.259 0.018 0.276
5 S 0.259 0.519 0.278
6 S 0.741 0.982 0.724
7 S 0.242 0.483 0.724
8 S 0.741 0.481 0.722
9 S 0.758 0.018 0.276
10 S 0.242 0.982 0.724
11 S 0.758 0.517 0.276
12 Ac 0.500 0.500 0.000
13 Ac 0.000 0.500 0.000
14 Ac 0.000 0.000 0.000
15 Li 0.000 0.000 0.500

[2]
Computed, not measured: an optimized crystal structure of K2Li2ReO6 at the GGA-PBE level of DFT.

## Properties
* uncorrected energy: -5.988 eV per atom
* SG: P-31m
* V: 13.591 A^3/atom
* Fermi-level density of states: 8.91 states/eV per cell
* ΔE_f (raw): -1604 meV/atom

Cell: 5.330 5.330 6.076 Å, 90.00 90.00 120.00°
Fractional positions:
1 O 0.705 0.000 0.176
2 O 0.295 0.000 0.824
3 O 0.705 0.705 0.824
4 O 0.000 0.295 0.824
5 O 0.295 0.295 0.176
6 O 0.000 0.705 0.176
7 K 0.333 0.667 0.500
8 K 0.667 0.333 0.500
9 Re 0.000 0.000 0.000
10 Li 0.333 0.667 0.000
11 Li 0.667 0.333 0.000

[3]
Computed, not measured: an optimized crystal structure of CdP2SO at the GGA-PBE level of DFT.

## Properties
* uncorrected energy: -3.762 eV per atom
* energy above the most stable polymorph in this dataset: 0.028 eV per atom
* SG: P4/mmm
* V: 16.088 A^3/atom
* Fermi-level density of states: 2.11 states/eV per cell
* ΔE_f (raw): 403 meV/atom

Cell: 4.829 4.829 3.450 Å, 90.00 90.00 90.00°
Fractional positions:
1 P 0.500 0.000 0.000
2 P 0.000 0.500 0.000
3 O 0.000 0.000 0.500
4 S 0.000 0.000 0.000
5 Cd 0.500 0.500 0.500

Number 1: density 5.25 Mg/m³. Number 2: density 4.16 Mg/m³. Number 3: density 4.59 Mg/m³.